4
Lattice="-1.953 1.953 4.160 1.953 -1.953 4.160 1.953 1.953 -4.160" Properties=species:S:1:pos:R:3 comment="AsRh2Au, relaxed, DFT GGA-PBE" crystal_system=tetragonal delta_e_f_ev_per_atom=0.17 total_magnetization_mub_per_fu=0.92 pbc="T T T"
As 0.000 0.000 0.000
Rh 0.000 0.000 4.160
Rh 0.000 1.953 2.080
Au 1.953 0.000 2.080